Entry 1:
Mg4HgAu3 after structural relaxation. Source: the Alexandria database, functional GGA-PBE.

## Properties
Its crystal system is trigonal. The calculation puts the magnetic moment at 0.000 μB/f.u. The value obtained for the density of states at the Fermi level is 0.322 states/eV/atom. For the total energy, the calculation gives -20.58 eV per cell.

Structure (POSCAR):
```
Mg4HgAu3
1.0
-2.408 3.091 2.631
-1.555 -1.249 4.278
5.327 3.115 5.450
Mg Au Hg
4 3 1
Cartesian
-1.404 2.804 8.120
3.101 3.388 7.324
2.768 2.152 4.238
-1.737 1.568 5.034
0.327 1.234 3.083
1.037 3.722 9.276
0.682 2.478 6.179
0.000 0.000 0.000
```



Entry 2:
Mg2Hg2Au after structural relaxation. Source: the Alexandria database, functional GGA-PBE.

## Properties
Its crystal system is tetragonal. The calculation puts the magnetic moment at 0.000 μB/f.u. The value obtained for the density of states at the Fermi level is 0.417 states/eV/atom. For the total energy, the calculation gives -6.64 eV per cell.

Structure (POSCAR):
```
Mg2Hg2Au
1.0
-3.438 -0.917 -2.234
-1.371 -2.458 3.119
-5.489 3.402 3.098
Mg Au Hg
2 1 2
Cartesian
-5.665 0.399 0.653
-4.632 -0.372 3.330
0.000 0.000 0.000
-3.053 -0.617 1.001
-7.245 0.644 2.982
```



Entry 3:
Mg3HgAu4 after structural relaxation. Source: the Alexandria database, functional GGA-PBE.

## Properties
Its crystal system is tetragonal. The calculation puts the magnetic moment at 0.000 μB/f.u. The value obtained for the density of states at the Fermi level is 0.267 states/eV/atom. For the total energy, the calculation gives -43.60 eV per cell.

Structure (POSCAR):
```
Mg3HgAu4
1.0
4.678 0.000 0.000
0.000 6.802 0.000
0.000 0.000 9.353
Mg Au Hg
6 8 2
Cartesian
0.000 0.000 0.000
0.000 0.000 4.676
2.340 0.000 7.014
2.339 0.000 2.338
2.341 3.401 7.014
2.338 3.401 2.338
2.339 5.220 0.000
2.339 5.220 4.676
2.339 1.582 0.000
2.339 1.582 4.676
0.001 5.221 7.014
4.678 5.221 2.338
4.678 1.581 2.338
0.001 1.581 7.014
0.000 3.401 0.000
0.000 3.401 4.676
```